No. 1
Compound: NaPr2Tm
Source: Alexandria via LeMat-Bulk
Functional: PBE-GGA
Structure: optimized geometry

Output
ΔE to the lowest computed polymorph, eV per atom: 0.000
Uncorrected energy, eV per cell: -14.96
Size of the total moment, μB/f.u.: 0.0
ΔH_f (0 K), eV per atom: 0.096

Cell: 3.554 3.554 10.993 Å, 90.00 90.00 90.00°
Space group P4/mmm (No. 123)
Symmetry-distinct sites (fractional):
Na: 0.000 0.000 0.000 [1 per cell]
Pr: 0.500 0.500 0.268 [2 per cell]
Tm: 0.000 0.000 0.500 [1 per cell]

=====

No. 2
Compound: NaPr2Tm
Source: Alexandria via LeMat-Bulk
Functional: PBE-GGA
Structure: optimized geometry

Output
ΔE to the lowest computed polymorph, eV per atom: 0.027
Uncorrected energy, eV per cell: -44.57
Size of the total moment, μB/f.u.: 0.0
ΔH_f (0 K), eV per atom: 0.123

Cell: 3.5749 3.5749 38.7192 Å, 90.00 90.00 120.00°
Space group R-3m (No. 166, hexagonal axes)
Symmetry-distinct sites (fractional):
Na: 0.0000 0.0000 0.0000 [3 per cell]
Pr: 0.0000 0.0000 0.0926 [6 per cell]
Tm: 0.0000 0.0000 0.5000 [3 per cell]

=====

No. 3
Compound: NaPrTm
Source: Alexandria via LeMat-Bulk
Functional: PBE-GGA
Structure: optimized geometry

Output
ΔE to the lowest computed polymorph, eV per atom: 0.023
Uncorrected energy, eV per cell: -20.21
Size of the total moment, μB/f.u.: 0.0
ΔH_f (0 K), eV per atom: 0.156

Cell: 3.554 3.554 16.277 Å, 90.00 90.00 90.00°
Space group I4mm (No. 107)
Symmetry-distinct sites (fractional):
Na: 0.000 0.000 0.000 [2 per cell]
Pr: 0.000 0.000 0.679 [2 per cell]
Tm: 0.000 0.000 0.329 [2 per cell]

=====

No. 4
Compound: NaPrTm
Source: Alexandria via LeMat-Bulk
Functional: PBE-GGA
Structure: optimized geometry

Output
ΔE to the lowest computed polymorph, eV per atom: 0.107
Uncorrected energy, eV per cell: -19.70
Size of the total moment, μB/f.u.: 0.0
ΔH_f (0 K), eV per atom: 0.240

Cell: 4.149 4.149 12.037 Å, 90.00 90.00 90.00°
Space group P4/nmm (No. 129, origin choice 2)
Symmetry-distinct sites (fractional):
Na: 0.250 0.750 0.000 [2 per cell]
Pr: 0.250 0.250 0.263 [2 per cell]
Tm: 0.250 0.250 0.569 [2 per cell]

=====

No. 5
Compound: NaPr2Tm
Source: Alexandria via LeMat-Bulk
Functional: PBE-GGA
Structure: optimized geometry

Output
ΔE to the lowest computed polymorph, eV per atom: 0.086
Uncorrected energy, eV per cell: -14.62
Size of the total moment, μB/f.u.: 0.0
ΔH_f (0 K), eV per atom: 0.183

Cell: 5.970 5.970 3.776 Å, 90.00 90.00 90.00°
Space group P4/mmm (No. 123)
Symmetry-distinct sites (fractional):
Na: 0.000 0.000 0.000 [1 per cell]
Pr: 0.000 0.500 0.500 [2 per cell]
Tm: 0.500 0.500 0.000 [1 per cell]

=====

No. 6
Compound: NaPrY
Source: Alexandria via LeMat-Bulk
Functional: PBE-GGA
Structure: optimized geometry

Output
ΔE to the lowest computed polymorph, eV per atom: 0.018
Uncorrected energy, eV per cell: -24.30
Size of the total moment, μB/f.u.: 0.0
ΔH_f (0 K), eV per atom: 0.138

Cell: 3.576 3.576 16.448 Å, 90.00 90.00 90.00°
Space group I4mm (No. 107)
Symmetry-distinct sites (fractional):
Na: 0.000 0.000 0.000 [2 per cell]
Pr: 0.000 0.000 0.323 [2 per cell]
Y: 0.000 0.000 0.671 [2 per cell]

=====

No. 7
Compound: NaPr2Y
Source: Alexandria via LeMat-Bulk
Functional: PBE-GGA
Structure: optimized geometry

Output
ΔE to the lowest computed polymorph, eV per atom: 0.119
Uncorrected energy, eV per cell: -16.60
Size of the total moment, μB/f.u.: 0.0
ΔH_f (0 K), eV per atom: 0.185

Cell: 6.028 6.028 3.784 Å, 90.00 90.00 90.00°
Space group P4/mmm (No. 123)
Symmetry-distinct sites (fractional):
Na: 0.000 0.000 0.000 [1 per cell]
Pr: 0.000 0.500 0.500 [2 per cell]
Y: 0.500 0.500 0.000 [1 per cell]

=====

No. 8
Compound: NaPrY
Source: Alexandria via LeMat-Bulk
Functional: PBE-GGA
Structure: optimized geometry

Output
ΔE to the lowest computed polymorph, eV per atom: 0.416
Uncorrected energy, eV per cell: -87.65
Size of the total moment, μB/f.u.: 0.0
ΔH_f (0 K), eV per atom: 0.535

Cell: 6.429 8.786 15.591 Å, 90.00 90.00 90.00°
Space group Fmmm (No. 69)
Symmetry-distinct sites (fractional):
Na: 0.000 0.162 0.000 [8 per cell]
Pr: 0.000 0.000 0.394 [8 per cell]
Y: 0.250 0.250 0.250 [8 per cell]

=====

No. 9
Compound: NaPr2Y
Source: Alexandria via LeMat-Bulk
Functional: PBE-GGA
Structure: optimized geometry

Output
ΔE to the lowest computed polymorph, eV per atom: 0.000
Uncorrected energy, eV per cell: -51.23
Size of the total moment, μB/f.u.: 0.0
ΔH_f (0 K), eV per atom: 0.066

Cell: 3.6642 3.6642 36.7691 Å, 90.00 90.00 120.00°
Space group R3m (No. 160, hexagonal axes)
Symmetry-distinct sites (fractional):
Na: 0.0000 0.0000 0.0000 [3 per cell]
Pr: 0.0000 0.0000 0.4215 [3 per cell]
Pr: 0.0000 0.0000 0.5783 [3 per cell]
Y: 0.0000 0.0000 0.8332 [3 per cell]

=====

No. 10
Compound: NaPrY
Source: Alexandria via LeMat-Bulk
Functional: PBE-GGA
Structure: optimized geometry

Output
ΔE to the lowest computed polymorph, eV per atom: 0.000
Uncorrected energy, eV per cell: -12.20
Size of the total moment, μB/f.u.: 0.0
ΔH_f (0 K), eV per atom: 0.120

Cell: 3.6201 3.6201 9.2779 Å, 90.00 90.00 120.00°
Space group P3m1 (No. 156)
Symmetry-distinct sites (fractional):
Na: 0.0000 0.0000 0.0000 [1 per cell]
Pr: 0.3333 0.6667 0.6473 [1 per cell]
Y: 0.6667 0.3333 0.3423 [1 per cell]

=====

No. 11
Compound: NaPrY
Source: Alexandria via LeMat-Bulk
Functional: PBE-GGA
Structure: optimized geometry

Output
ΔE to the lowest computed polymorph, eV per atom: 0.044
Uncorrected energy, eV per cell: -24.14
Size of the total moment, μB/f.u.: 0.0
ΔH_f (0 K), eV per atom: 0.164

Cell: 5.7322 5.7322 7.2295 Å, 90.00 90.00 120.00°
Space group P6/mmm (No. 191)
Symmetry-distinct sites (fractional):
Na: 0.3333 0.6667 0.0000 [2 per cell]
Pr: 0.0000 0.0000 0.2659 [2 per cell]
Y: 0.3333 0.6667 0.5000 [2 per cell]

=====

No. 12
Compound: NaPr2Y
Source: Alexandria via LeMat-Bulk
Functional: PBE-GGA
Structure: optimized geometry

Output
ΔE to the lowest computed polymorph, eV per atom: 0.057
Uncorrected energy, eV per cell: -50.55
Size of the total moment, μB/f.u.: 0.0
ΔH_f (0 K), eV per atom: 0.123

Cell: 3.6024 3.6024 38.9391 Å, 90.00 90.00 120.00°
Space group R-3m (No. 166, hexagonal axes)
Symmetry-distinct sites (fractional):
Na: 0.0000 0.0000 0.0000 [3 per cell]
Pr: 0.0000 0.0000 0.0918 [6 per cell]
Y: 0.0000 0.0000 0.5000 [3 per cell]

=====

Question: Among the records above, which one has the lowest uncorrected energy?
Answer: number 8

=====

Question: size of the total moment of number 8 (NaPrY)?
Answer: 0.0 μB/f.u.

=====

Question: The highest ΔH_f (0 K) belongs to which entry?
Answer: number 8

=====

Copy entry 6 word for word.
Compound: NaPrY
Source: Alexandria via LeMat-Bulk
Functional: PBE-GGA
Structure: optimized geometry

Output
ΔE to the lowest computed polymorph, eV per atom: 0.018
Uncorrected energy, eV per cell: -24.30
Size of the total moment, μB/f.u.: 0.0
ΔH_f (0 K), eV per atom: 0.138

Cell: 3.576 3.576 16.448 Å, 90.00 90.00 90.00°
Space group I4mm (No. 107)
Symmetry-distinct sites (fractional):
Na: 0.000 0.000 0.000 [2 per cell]
Pr: 0.000 0.000 0.323 [2 per cell]
Y: 0.000 0.000 0.671 [2 per cell]